Entry 1:
A relaxed Ba2Mg6ZnHg crystal, computed with PBE.

Properties
Fermi-level density of states   7.57 states/eV/cell
E_form   -0.36 eV/f.u.

Lattice parameters (Å, degrees): 7.5243 7.5243 7.5373 60.01 60.01 89.95
Fractional coordinates of all 10 atoms:
Ba1 0.7499 0.2501 0.5000
Mg1 0.7556 0.7556 0.9999
Ba2 0.2501 0.7499 0.5000
Mg2 0.2444 0.2444 0.0001
Zn1 0.0000 0.0000 0.0000
Mg3 0.2443 0.2443 0.5112
Mg4 0.7557 0.7557 0.4888
Mg5 0.7556 0.2444 0.0000
Mg6 0.2444 0.7556 0.0000
Hg1 0.5000 0.5000 0.0000



Entry 2:
A relaxed BaMg2ZnHg4 crystal, computed with PBE.

Properties
Fermi-level density of states   3.83 states/eV/cell
E_form   -1.97 eV/f.u.

Lattice parameters (Å, degrees): 4.8079 4.8079 10.7467 77.07 77.07 60.00
Fractional coordinates of all 8 atoms:
Hg1 0.1299 0.1299 0.6103
Hg2 0.4009 0.4009 0.7974
Zn1 0.5000 0.5000 0.5000
Mg1 0.7693 0.7693 0.6920
Hg3 0.5991 0.5991 0.2026
Ba1 0.0000 0.0000 0.0000
Hg4 0.8701 0.8701 0.3897
Mg2 0.2307 0.2307 0.3080



Entry 3:
A relaxed BaMn2Hg2 crystal, computed with PBE.

Properties
Fermi-level density of states   7.88 states/eV/cell
E above lowest polymorph   55 meV per atom
E_form   1.37 eV/f.u.

Lattice parameters (Å, degrees): 8.4979 8.4979 3.2171 90.00 90.00 90.00
Last column: magnetic moment on the atom in μB.
Fractional coordinates of all 10 atoms:
Mn1 0.8809 0.6191 0.0000  3.87
Hg1 0.6698 0.8302 0.5000  -0.07
Mn2 0.1191 0.3809 0.0000  3.87
Hg2 0.1698 0.6698 0.5000  -0.07
Ba1 0.5000 0.5000 0.0000  -0.07
Hg3 0.3302 0.1698 0.5000  -0.07
Mn3 0.6191 0.1191 0.0000  3.85
Hg4 0.8302 0.3302 0.5000  -0.07
Ba2 0.0000 0.0000 0.0000  -0.07
Mn4 0.3809 0.8809 0.0000  3.85